A plane-wave DFT calculation with PBE was carried out for an optimized crystal structure of LiNi3Sn.

a b c (Å): 4.725 4.725 4.725
angles (deg): 90.00 90.00 90.00
Space group Pm-3m (No. 221)
One atom of each set of equivalent atoms:
Li1 0.000 0.000 0.000
Ni1 0.000 0.500 0.500
Sn1 0.500 0.500 0.500

Values from the calculation:
Energy: -19.28 eV per cell
Density: 4.750 Mg/m³
Density of states at the Fermi level: 2.780 states/eV/f.u.
Energy of formation from the pure elements: 76.9 kJ per mole of atoms


A plane-wave DFT calculation with PBE was carried out for an optimized crystal structure of LiNi6Sn.

a b c (Å): 4.158 5.202 9.000
angles (deg): 90.00 90.00 90.00
Space group Amm2 (No. 38)
One atom of each set of equivalent atoms:
Li1 0.000 0.000 0.000
Ni1 0.000 0.000 0.509
Ni2 0.000 0.236 0.745
Ni3 0.500 0.000 0.831
Ni4 0.500 0.247 0.584
Sn1 0.500 0.000 0.333

Values from the calculation:
Energy: -82.08 eV per cell
Density: 8.151 Mg/m³
Density of states at the Fermi level: 9.341 states/eV/f.u.
Energy of formation from the pure elements: -5.3 kJ per mole of atoms


A plane-wave DFT calculation with PBE was carried out for an optimized crystal structure of Li2Ni2Sn.

a b c (Å): 3.473 3.473 12.330
angles (deg): 90.00 90.00 90.00
Space group I4/mmm (No. 139)
One atom of each set of equivalent atoms:
Li1 0.000 0.500 0.250
Ni1 0.000 0.000 0.096
Sn1 0.000 0.000 0.500

Values from the calculation:
Energy: -37.59 eV per cell
Density: 5.583 Mg/m³
Density of states at the Fermi level: 2.363 states/eV/f.u.
Energy of formation from the pure elements: 11.6 kJ per mole of atoms